Entry 1:
! Zr2AlAu GGA-PBE relaxed; values from VASP
&SYSTEM
  ibrav = 0, nat = 8, ntyp = 3
/
ATOMIC_SPECIES
Au 196.97 Au.upf
Zr 91.22 Zr.upf
Al 26.98 Al.upf
CELL_PARAMETERS angstrom
7.762 0.000 0.000
0.000 7.762 0.000
3.881 3.881 2.820
ATOMIC_POSITIONS crystal
Au 0.000 0.000 0.000
Zr 0.375 0.365 0.750
Au 0.750 0.250 0.500
Zr 0.635 0.125 0.250
Al 0.500 0.500 0.000
Al 0.250 0.750 0.500
Zr 0.115 0.625 0.250
Zr 0.875 0.885 0.750
! Density of states at the Fermi level, states/eV per cell: 7.7
! Total magnetic moment, μB/atom: 0.000
! Energy of formation from the pure elements, meV/atom: -78



Entry 2:
! CeAgSb GGA-PBE relaxed; values from VASP
&SYSTEM
  ibrav = 0, nat = 6, ntyp = 3
/
ATOMIC_SPECIES
Ag 107.87 Ag.upf
Sb 121.76 Sb.upf
Ce 140.12 Ce.upf
CELL_PARAMETERS angstrom
-1.107 -1.858 -3.953
-3.349 -1.687 1.730
-6.394 6.392 -1.215
ATOMIC_POSITIONS crystal
Ag 0.750 0.727 0.545
Ag 0.250 0.273 0.455
Sb 0.250 0.431 0.137
Ce 0.250 0.098 0.805
Ce 0.750 0.902 0.195
Sb 0.750 0.569 0.863
! Density of states at the Fermi level, states/eV per cell: 12.2
! E_form (uncorrected), meV per atom: -379
! Total magnetic moment, μB/atom: 0.220



Entry 3:
! HoNi2AsH GGA-PBE relaxed; values from VASP
&SYSTEM
  ibrav = 0, nat = 10, ntyp = 4
/
ATOMIC_SPECIES
H 1.01 H.upf
As 74.92 As.upf
Ni 58.69 Ni.upf
Ho 164.93 Ho.upf
CELL_PARAMETERS angstrom
-2.729 -1.591 -2.172
4.254 1.468 -3.038
2.776 -6.066 0.957
ATOMIC_POSITIONS crystal
H 0.000 0.000 0.500
As 0.721 0.443 0.750
Ni 0.157 0.315 0.558
H 0.000 0.000 0.000
Ho 0.562 0.125 0.250
Ni 0.157 0.315 0.942
Ni 0.843 0.685 0.058
As 0.279 0.557 0.250
Ni 0.843 0.685 0.442
Ho 0.438 0.875 0.750
! Density of states at the Fermi level, states/eV per cell: 3.8
! Calculated total energy, eV for the cell shown: -55.2
! Total magnetic moment, μB/atom: 0.000



Entry 4:
! BaTl2GaP GGA-PBE relaxed; values from VASP
&SYSTEM
  ibrav = 0, nat = 5, ntyp = 4
/
ATOMIC_SPECIES
Ba 137.33 Ba.upf
Ga 69.72 Ga.upf
Tl 204.38 Tl.upf
P 30.97 P.upf
CELL_PARAMETERS angstrom
5.571 0.000 0.000
0.000 5.006 0.000
0.000 0.000 5.571
ATOMIC_POSITIONS crystal
Ba 0.500 0.500 0.500
Ga 0.000 0.000 0.000
Tl 0.000 0.000 0.500
P 0.000 0.500 0.000
Tl 0.500 0.000 0.000
! Density of states at the Fermi level, states/eV per cell: 3.0
! Offset from the most stable computed form, meV per atom: 0
! Total magnetic moment, μB/atom: 0.000
! Energy of formation from the pure elements, meV/atom: -64



Entry 5:
! CrOs2Au GGA-PBE relaxed; values from VASP
&SYSTEM
  ibrav = 0, nat = 4, ntyp = 3
/
ATOMIC_SPECIES
Os 190.23 Os.upf
Cr 52.00 Cr.upf
Au 196.97 Au.upf
CELL_PARAMETERS angstrom
-0.341 0.701 2.611
-2.135 -1.685 0.174
4.793 -5.844 2.195
ATOMIC_POSITIONS crystal
Os 0.000 0.000 0.969
Cr 0.500 0.500 0.750
Au 0.500 0.500 0.250
Os 0.000 0.000 0.531
! Density of states at the Fermi level, states/eV per cell: 5.6
! Offset from the most stable computed form, meV per atom: 118
! Total magnetic moment, μB/atom: 0.000
! Energy of formation from the pure elements, meV/atom: 380



Entry 6:
! GaHRh3 GGA-PBE relaxed; values from VASP
&SYSTEM
  ibrav = 0, nat = 20, ntyp = 3
/
ATOMIC_SPECIES
Rh 102.91 Rh.upf
H 1.01 H.upf
Ga 69.72 Ga.upf
CELL_PARAMETERS angstrom
-17.216 -2.870 -0.679
0.464 -1.603 -4.996
6.768 -1.471 1.101
ATOMIC_POSITIONS crystal
Rh 0.954 0.250 0.430
Rh 0.046 0.750 0.570
Rh 0.250 0.000 0.750
H 0.349 0.750 0.807
Rh 0.632 0.750 0.638
H 0.651 0.250 0.193
Rh 0.750 0.500 0.250
Ga 0.088 0.250 0.075
Rh 0.132 0.750 0.138
H 0.849 0.750 0.307
Rh 0.546 0.750 0.070
Ga 0.588 0.250 0.575
Rh 0.368 0.250 0.362
Ga 0.412 0.750 0.425
Rh 0.454 0.250 0.930
Ga 0.912 0.750 0.925
Rh 0.250 0.500 0.750
H 0.151 0.250 0.693
Rh 0.868 0.250 0.862
Rh 0.750 0.000 0.250
! Density of states at the Fermi level, states/eV per cell: 20.4
! Offset from the most stable computed form, meV per atom: 177
! Total magnetic moment, μB/atom: 0.000



Entry 7:
! TlAgP2Cl GGA-PBE relaxed; values from VASP
&SYSTEM
  ibrav = 0, nat = 5, ntyp = 4
/
ATOMIC_SPECIES
Ag 107.87 Ag.upf
Tl 204.38 Tl.upf
P 30.97 P.upf
Cl 35.45 Cl.upf
CELL_PARAMETERS angstrom
4.766 0.000 0.000
0.000 4.766 0.000
0.000 0.000 6.109
ATOMIC_POSITIONS crystal
Ag 0.000 0.000 0.000
Tl 0.500 0.500 0.500
P 0.500 0.000 0.000
P 0.000 0.500 0.000
Cl 0.000 0.000 0.500
! Density of states at the Fermi level, states/eV per cell: 3.1
! Offset from the most stable computed form, meV per atom: 0
! E_form (uncorrected), meV per atom: 519
! Total magnetic moment, μB/atom: 0.398



Entry 8:
! Ti2ReSb2 GGA-PBE relaxed; values from VASP
&SYSTEM
  ibrav = 0, nat = 10, ntyp = 3
/
ATOMIC_SPECIES
Re 186.21 Re.upf
Ti 47.87 Ti.upf
Sb 121.76 Sb.upf
CELL_PARAMETERS angstrom
-3.309 5.696 2.618
-6.109 -3.594 0.098
0.745 -1.170 3.487
ATOMIC_POSITIONS crystal
Re 0.000 0.000 0.000
Ti 0.350 0.150 0.500
Ti 0.650 0.850 0.500
Sb 0.151 0.349 0.000
Sb 0.651 0.151 0.000
Ti 0.150 0.650 0.500
Ti 0.850 0.350 0.500
Sb 0.849 0.651 0.000
Re 0.500 0.500 0.000
Sb 0.349 0.849 0.000
! Density of states at the Fermi level, states/eV per cell: 9.2
! E_form (uncorrected), meV per atom: 67
! Total magnetic moment, μB/atom: 0.000



Entry 9:
! MoSe2Br GGA-PBE relaxed; values from VASP
&SYSTEM
  ibrav = 0, nat = 4, ntyp = 3
/
ATOMIC_SPECIES
Se 78.96 Se.upf
Mo 95.94 Mo.upf
Br 79.90 Br.upf
CELL_PARAMETERS angstrom
-7.439 -2.234 10.592
-6.633 -4.985 10.182
-4.960 -3.201 11.733
ATOMIC_POSITIONS crystal
Se 0.935 0.935 0.935
Se 0.065 0.065 0.065
Mo 0.000 0.000 0.000
Br 0.500 0.500 0.500
! Density of states at the Fermi level, states/eV per cell: 4.2
! Offset from the most stable computed form, meV per atom: 757
! E_form (uncorrected), meV per atom: 475
! Total magnetic moment, μB/atom: 0.000



Entry 10:
! BaAlInO4 GGA-PBE relaxed; values from VASP
&SYSTEM
  ibrav = 0, nat = 14, ntyp = 4
/
ATOMIC_SPECIES
O 16.00 O.upf
Al 26.98 Al.upf
Ba 137.33 Ba.upf
In 114.82 In.upf
CELL_PARAMETERS angstrom
5.548 0.000 -0.007
0.000 5.797 0.000
-2.186 0.000 6.807
ATOMIC_POSITIONS crystal
O 0.031 0.522 0.309
O 0.969 0.478 0.691
O 0.561 0.250 0.828
O 0.439 0.750 0.172
O 0.031 0.978 0.309
Al 0.263 0.750 0.341
Ba 0.285 0.250 0.065
In 0.812 0.750 0.463
In 0.188 0.250 0.537
Al 0.737 0.250 0.659
O 0.509 0.250 0.429
O 0.969 0.022 0.691
O 0.491 0.750 0.571
Ba 0.715 0.750 0.935
! Density of states at the Fermi level, states/eV per cell: 0.0
! E_form (uncorrected), meV per atom: -2329
! Total magnetic moment, μB/atom: 0.000



Entry 11:
! Ca2YMgN GGA-PBE relaxed; values from VASP
&SYSTEM
  ibrav = 0, nat = 5, ntyp = 4
/
ATOMIC_SPECIES
N 14.01 N.upf
Ca 40.08 Ca.upf
Mg 24.30 Mg.upf
Y 88.91 Y.upf
CELL_PARAMETERS angstrom
5.111 0.000 0.000
0.000 5.111 0.000
0.000 0.000 4.738
ATOMIC_POSITIONS crystal
N 0.000 0.000 0.000
Ca 0.500 0.000 0.000
Mg 0.500 0.500 0.500
Ca 0.000 0.500 0.000
Y 0.000 0.000 0.500
! Density of states at the Fermi level, states/eV per cell: 4.9
! E_form (uncorrected), meV per atom: -535
! Total magnetic moment, μB/atom: 0.000



Entry 12:
! YZnCdAu GGA-PBE relaxed; values from VASP
&SYSTEM
  ibrav = 0, nat = 4, ntyp = 4
/
ATOMIC_SPECIES
Cd 112.41 Cd.upf
Y 88.91 Y.upf
Zn 65.41 Zn.upf
Au 196.97 Au.upf
CELL_PARAMETERS angstrom
4.881 0.000 0.000
2.441 4.227 0.000
2.441 1.409 3.986
ATOMIC_POSITIONS crystal
Cd 0.250 0.250 0.250
Y 0.750 0.750 0.750
Zn 0.000 0.000 0.000
Au 0.500 0.500 0.500
! Density of states at the Fermi level, states/eV per cell: 1.7
! Total magnetic moment, μB/atom: 0.000
! Energy of formation from the pure elements, meV/atom: -505



Entry 13:
! LaPmNd2H GGA-PBE relaxed; values from VASP
&SYSTEM
  ibrav = 0, nat = 5, ntyp = 4
/
ATOMIC_SPECIES
La 138.91 La.upf
H 1.01 H.upf
Pm 145.00 Pm.upf
Nd 144.24 Nd.upf
CELL_PARAMETERS angstrom
-0.643 4.058 -3.165
-2.020 -3.137 -3.613
-4.741 0.785 1.970
ATOMIC_POSITIONS crystal
La 0.500 0.500 0.500
H 0.000 0.000 0.000
Pm 0.500 0.000 0.000
Nd 0.000 0.500 0.000
Nd 0.000 0.000 0.500
! Density of states at the Fermi level, states/eV per cell: 4.3
! Calculated total energy, eV for the cell shown: -23.5
! Total magnetic moment, μB/atom: 0.000



Entry 14:
! CeNd3Si8 GGA-PBE relaxed; values from VASP
&SYSTEM
  ibrav = 0, nat = 12, ntyp = 3
/
ATOMIC_SPECIES
Nd 144.24 Nd.upf
Si 28.09 Si.upf
Ce 140.12 Ce.upf
CELL_PARAMETERS angstrom
4.149 0.000 0.000
0.000 4.149 0.000
0.000 0.000 14.218
ATOMIC_POSITIONS crystal
Nd 0.000 0.500 0.751
Si 0.500 0.000 0.668
Si 0.500 0.500 0.082
Nd 0.500 0.000 0.249
Si 0.000 0.000 0.416
Ce 0.000 0.000 0.000
Nd 0.500 0.500 0.500
Si 0.500 0.500 0.918
Si 0.000 0.500 0.332
Si 0.000 0.000 0.584
Si 0.500 0.000 0.836
Si 0.000 0.500 0.164
! Density of states at the Fermi level, states/eV per cell: 8.3
! E_form (uncorrected), meV per atom: -614
! Total magnetic moment, μB/atom: 0.000



Entry 15:
! PaH8Pt2 GGA-PBE relaxed; values from VASP
&SYSTEM
  ibrav = 0, nat = 11, ntyp = 3
/
ATOMIC_SPECIES
Pa 231.04 Pa.upf
H 1.01 H.upf
Pt 195.08 Pt.upf
CELL_PARAMETERS angstrom
-2.537 0.396 -3.404
-4.176 -0.806 0.305
3.416 6.724 3.689
ATOMIC_POSITIONS crystal
Pa 0.000 0.000 0.000
H 0.571 0.571 0.153
H 0.429 0.429 0.847
Pt 0.858 0.858 0.302
H 0.413 0.884 0.861
H 0.884 0.413 0.861
H 0.116 0.587 0.139
H 0.853 0.853 0.514
H 0.587 0.116 0.139
Pt 0.142 0.142 0.698
H 0.147 0.147 0.486
! Density of states at the Fermi level, states/eV per cell: 3.4
! Calculated total energy, eV for the cell shown: -49.2
! Total magnetic moment, μB/atom: 0.000



Entry 16:
! RbZnB3 GGA-PBE relaxed; values from VASP
&SYSTEM
  ibrav = 0, nat = 5, ntyp = 3
/
ATOMIC_SPECIES
B 10.81 B.upf
Rb 85.47 Rb.upf
Zn 65.41 Zn.upf
CELL_PARAMETERS angstrom
-3.399 2.795 -0.161
-0.462 -0.311 4.368
2.761 3.388 0.533
ATOMIC_POSITIONS crystal
B 0.000 0.000 0.500
Rb 0.500 0.500 0.500
Zn 0.000 0.000 0.000
B 0.500 0.000 0.000
B 0.000 0.500 0.000
! Density of states at the Fermi level, states/eV per cell: 3.4
! Offset from the most stable computed form, meV per atom: 0
! Total magnetic moment, μB/atom: 0.000
! Energy of formation from the pure elements, meV/atom: 1898



Entry 17:
! GdThRu GGA-PBE relaxed; values from VASP
&SYSTEM
  ibrav = 0, nat = 3, ntyp = 3
/
ATOMIC_SPECIES
Gd 157.25 Gd.upf
Ru 101.07 Ru.upf
Th 232.04 Th.upf
CELL_PARAMETERS angstrom
-0.377 -2.765 -2.249
0.546 -2.279 2.711
-5.776 2.430 0.836
ATOMIC_POSITIONS crystal
Gd 0.016 0.016 0.032
Ru 0.681 0.681 0.362
Th 0.303 0.303 0.607
! Density of states at the Fermi level, states/eV per cell: 3.3
! Offset from the most stable computed form, meV per atom: 0
! Total magnetic moment, μB/atom: 2.473
! Energy of formation from the pure elements, meV/atom: -235



Entry 18:
! Ag2AsO GGA-PBE relaxed; values from VASP
&SYSTEM
  ibrav = 0, nat = 8, ntyp = 3
/
ATOMIC_SPECIES
Ag 107.87 Ag.upf
As 74.92 As.upf
O 16.00 O.upf
CELL_PARAMETERS angstrom
-1.685 6.496 1.309
0.354 -1.261 6.711
1.980 3.306 4.000
ATOMIC_POSITIONS crystal
Ag 0.167 0.625 0.250
Ag 0.583 0.125 0.250
As 0.750 0.250 0.500
Ag 0.375 0.417 0.750
As 0.000 0.000 0.000
O 0.500 0.500 0.000
Ag 0.875 0.833 0.750
O 0.250 0.750 0.500
! Density of states at the Fermi level, states/eV per cell: 3.6
! Offset from the most stable computed form, meV per atom: 0
! E_form (uncorrected), meV per atom: 171
! Total magnetic moment, μB/atom: 0.000



Entry 19:
! LiNdPtO4 GGA-PBE relaxed; values from VASP
&SYSTEM
  ibrav = 0, nat = 14, ntyp = 4
/
ATOMIC_SPECIES
Pt 195.08 Pt.upf
Nd 144.24 Nd.upf
O 16.00 O.upf
Li 6.94 Li.upf
CELL_PARAMETERS angstrom
6.476 0.000 0.000
-3.238 5.671 -0.943
0.000 -3.899 6.412
ATOMIC_POSITIONS crystal
Pt 0.500 0.500 0.500
Nd 0.500 0.000 0.500
O 0.770 0.541 0.694
O 0.230 0.459 0.306
O 0.770 0.541 0.347
O 0.288 0.024 0.262
Li 0.964 0.927 0.214
Pt 0.000 0.500 0.500
O 0.712 0.976 0.738
Nd 0.500 0.000 0.000
O 0.230 0.459 0.653
Li 0.036 0.073 0.786
O 0.264 0.976 0.738
O 0.736 0.024 0.262
! E_form (uncorrected), meV per atom: -1797
! Total magnetic moment, μB/atom: 0.000



Entry 20:
! Ca6Rh2N GGA-PBE relaxed; values from VASP
&SYSTEM
  ibrav = 0, nat = 18, ntyp = 3
/
ATOMIC_SPECIES
Rh 102.91 Rh.upf
Ca 40.08 Ca.upf
N 14.01 N.upf
CELL_PARAMETERS angstrom
6.567 0.000 -0.030
0.000 7.428 0.000
0.269 0.000 9.427
ATOMIC_POSITIONS crystal
Rh 0.535 0.897 0.250
Ca 0.152 0.294 0.559
Ca 0.695 0.157 0.442
Rh 0.035 0.603 0.750
Rh 0.465 0.103 0.750
Ca 0.620 0.462 0.760
Ca 0.195 0.343 0.942
Ca 0.348 0.794 0.941
Ca 0.652 0.206 0.059
Rh 0.965 0.397 0.250
Ca 0.880 0.962 0.740
Ca 0.305 0.843 0.558
N 0.000 0.000 0.500
Ca 0.848 0.706 0.441
Ca 0.120 0.038 0.260
Ca 0.380 0.538 0.240
Ca 0.805 0.657 0.058
N 0.500 0.500 0.000
! Density of states at the Fermi level, states/eV per cell: 9.2
! E_form (uncorrected), meV per atom: -459
! Total magnetic moment, μB/atom: 0.000